Entry 1:
Sc3Ge3Os: relaxed, PBE.

Cell: 5.3453 5.3453 12.7769 Å, 90.00 90.00 135.55°
Positions (direct):
Sc (0.0152, 0.9848, 0.7500)
Sc (0.2939, 0.7061, 0.5987)
Sc (0.2939, 0.7061, 0.9013)
Sc (0.7061, 0.2939, 0.0987)
Sc (0.7061, 0.2939, 0.4013)
Sc (0.9848, 0.0152, 0.2500)
Ge (0.2568, 0.7432, 0.2500)
Ge (0.4229, 0.5771, 0.0992)
Ge (0.4229, 0.5771, 0.4008)
Ge (0.5771, 0.4229, 0.5992)
Ge (0.5771, 0.4229, 0.9008)
Ge (0.7432, 0.2568, 0.7500)
Os (0.0000, 0.0000, 0.0000)
Os (0.0000, 0.0000, 0.5000)

As for the space group: Cmcm (63). Its formation energy is -0.6789 eV/atom. The value obtained for the total magnetic moment is 0.000 μB/cell. The value obtained for the total energy is -97.7 eV per cell.



Entry 2:
ScGe3Os: relaxed, PBE.

Cell: 4.8025 4.8025 4.8025 Å, 90.00 90.00 90.00°
Positions (direct):
Sc (0.0000, 0.0000, 0.0000)
Ge (0.0000, 0.5000, 0.5000)
Ge (0.5000, 0.0000, 0.5000)
Ge (0.5000, 0.5000, 0.0000)
Os (0.5000, 0.5000, 0.5000)

As for the space group: Pm-3m (221). Its formation energy is 0.3890 eV/atom. The value obtained for the total magnetic moment is 0.000 μB/cell. The value obtained for the total energy is -29.5 eV per cell.



Entry 3:
ScGe2Os: relaxed, PBE.

Cell: 3.9111 3.9111 18.7493 Å, 90.00 90.00 90.00°
Positions (direct):
Sc (0.0000, 0.0000, 0.0000)
Sc (0.0000, 0.5000, 0.2500)
Sc (0.5000, 0.0000, 0.7500)
Sc (0.5000, 0.5000, 0.5000)
Ge (0.2354, 0.2500, 0.6250)
Ge (0.2500, 0.7354, 0.8750)
Ge (0.2500, 0.7646, 0.3750)
Ge (0.2646, 0.2500, 0.1250)
Ge (0.7354, 0.7500, 0.1250)
Ge (0.7500, 0.2354, 0.3750)
Ge (0.7500, 0.2646, 0.8750)
Ge (0.7646, 0.7500, 0.6250)
Os (0.0000, 0.0000, 0.5000)
Os (0.0000, 0.5000, 0.7500)
Os (0.5000, 0.0000, 0.2500)
Os (0.5000, 0.5000, 0.0000)

As for the space group: I-42d (122). Its formation energy is 0.0518 eV/atom. The value obtained for the total magnetic moment is 0.000 μB/cell. The value obtained for the total energy is -106.4 eV per cell.



Entry 4:
ScGe2Os: relaxed, PBE.

Cell: 9.3468 10.4147 8.2246 Å, 90.00 90.00 90.00°
Positions (direct):
Sc (0.1650, 0.1770, 0.0000)
Sc (0.1777, 0.4490, 0.2451)
Sc (0.1777, 0.4490, 0.7549)
Sc (0.3223, 0.9490, 0.2451)
Sc (0.3223, 0.9490, 0.7549)
Sc (0.3350, 0.6770, 0.0000)
Sc (0.6650, 0.3230, 0.0000)
Sc (0.6777, 0.0510, 0.2451)
Sc (0.6777, 0.0510, 0.7549)
Sc (0.8223, 0.5510, 0.2451)
Sc (0.8223, 0.5510, 0.7549)
Sc (0.8350, 0.8230, 0.0000)
Ge (0.0285, 0.6185, 0.5000)
Ge (0.0330, 0.6159, 0.0000)
Ge (0.1323, 0.9003, 0.5000)
Ge (0.1352, 0.8974, 0.0000)
Ge (0.1633, 0.1789, 0.3465)
Ge (0.1633, 0.1789, 0.6535)
Ge (0.3367, 0.6789, 0.3465)
Ge (0.3367, 0.6789, 0.6535)
Ge (0.3648, 0.3974, 0.0000)
Ge (0.3677, 0.4003, 0.5000)
Ge (0.4670, 0.1159, 0.0000)
Ge (0.4715, 0.1185, 0.5000)
Ge (0.5285, 0.8815, 0.5000)
Ge (0.5330, 0.8841, 0.0000)
Ge (0.6323, 0.5997, 0.5000)
Ge (0.6352, 0.6026, 0.0000)
Ge (0.6633, 0.3211, 0.3465)
Ge (0.6633, 0.3211, 0.6535)
Ge (0.8367, 0.8211, 0.3465)
Ge (0.8367, 0.8211, 0.6535)
Ge (0.8648, 0.1026, 0.0000)
Ge (0.8677, 0.0997, 0.5000)
Ge (0.9670, 0.3841, 0.0000)
Ge (0.9715, 0.3815, 0.5000)
Os (0.0000, 0.0000, 0.2469)
Os (0.0000, 0.0000, 0.7531)
Os (0.0869, 0.7365, 0.2483)
Os (0.0869, 0.7365, 0.7517)
Os (0.4131, 0.2365, 0.2483)
Os (0.4131, 0.2365, 0.7517)
Os (0.5000, 0.5000, 0.2469)
Os (0.5000, 0.5000, 0.7531)
Os (0.5869, 0.7635, 0.2483)
Os (0.5869, 0.7635, 0.7517)
Os (0.9131, 0.2635, 0.2483)
Os (0.9131, 0.2635, 0.7517)

As for the space group: Pbam (55). Its formation energy is -0.5286 eV/atom. The value obtained for the total magnetic moment is 0.000 μB/cell. The value obtained for the total energy is -346.9 eV per cell.



Entry 5:
ScGe2Os: relaxed, PBE.

Cell: 4.1664 4.1664 13.5679 Å, 90.00 90.00 120.00°
Positions (direct):
Sc (0.0000, 0.0000, 0.0000)
Sc (0.3333, 0.6667, 0.6667)
Sc (0.6667, 0.3333, 0.3333)
Ge (0.0000, 0.0000, 0.2298)
Ge (0.0000, 0.0000, 0.7702)
Ge (0.3333, 0.6667, 0.4368)
Ge (0.3333, 0.6667, 0.8965)
Ge (0.6667, 0.3333, 0.1035)
Ge (0.6667, 0.3333, 0.5632)
Os (0.0000, 0.0000, 0.5000)
Os (0.3333, 0.6667, 0.1667)
Os (0.6667, 0.3333, 0.8333)

As for the space group: R-3m (166). Its formation energy is -0.3555 eV/atom. The value obtained for the total magnetic moment is 0.000 μB/cell. The value obtained for the total energy is -84.7 eV per cell.



Entry 6:
ScGe2Os: relaxed, PBE.

Cell: 6.9823 7.2419 5.5014 Å, 90.00 92.48 90.00°
Positions (direct):
Sc (0.1556, 0.0975, 0.2428)
Sc (0.1556, 0.4025, 0.7428)
Sc (0.8444, 0.5975, 0.2572)
Sc (0.8444, 0.9025, 0.7572)
Ge (0.1487, 0.7421, 0.0182)
Ge (0.1487, 0.7579, 0.5182)
Ge (0.4760, 0.2280, 0.5081)
Ge (0.4760, 0.2720, 0.0081)
Ge (0.5240, 0.7280, 0.9919)
Ge (0.5240, 0.7720, 0.4919)
Ge (0.8513, 0.2421, 0.4818)
Ge (0.8513, 0.2579, 0.9818)
Os (0.3381, 0.5094, 0.2886)
Os (0.3381, 0.9906, 0.7886)
Os (0.6619, 0.0094, 0.2114)
Os (0.6619, 0.4906, 0.7114)

As for the space group: P2_1/c (14). Its formation energy is -0.2949 eV/atom. The value obtained for the total magnetic moment is 0.000 μB/cell. The value obtained for the total energy is -111.9 eV per cell.



Entry 7:
ScGe2Os: relaxed, PBE.

Cell: 6.3523 6.3523 6.3523 Å, 90.00 90.00 90.00°
Positions (direct):
Sc (0.0000, 0.0000, 0.0000)
Sc (0.0000, 0.5000, 0.5000)
Sc (0.5000, 0.0000, 0.5000)
Sc (0.5000, 0.5000, 0.0000)
Ge (0.2500, 0.2500, 0.2500)
Ge (0.2500, 0.2500, 0.7500)
Ge (0.2500, 0.7500, 0.2500)
Ge (0.2500, 0.7500, 0.7500)
Ge (0.7500, 0.2500, 0.2500)
Ge (0.7500, 0.2500, 0.7500)
Ge (0.7500, 0.7500, 0.2500)
Ge (0.7500, 0.7500, 0.7500)
Os (0.0000, 0.0000, 0.5000)
Os (0.0000, 0.5000, 0.0000)
Os (0.5000, 0.0000, 0.0000)
Os (0.5000, 0.5000, 0.5000)

As for the space group: Fm-3m (225). Its formation energy is -0.2698 eV/atom. The value obtained for the total magnetic moment is 0.000 μB/cell. The value obtained for the total energy is -111.5 eV per cell.



Entry 8:
Sc3Ge3Os2: relaxed, PBE.

Cell: 5.5946 5.5946 13.2754 Å, 90.00 90.00 136.12°
Positions (direct):
Sc (0.0755, 0.9245, 0.6139)
Sc (0.0755, 0.9245, 0.8861)
Sc (0.3445, 0.6555, 0.7500)
Sc (0.6555, 0.3445, 0.2500)
Sc (0.9245, 0.0755, 0.1139)
Sc (0.9245, 0.0755, 0.3861)
Ge (0.3441, 0.6559, 0.2500)
Ge (0.3909, 0.6091, 0.5438)
Ge (0.3909, 0.6091, 0.9562)
Ge (0.6091, 0.3909, 0.0438)
Ge (0.6091, 0.3909, 0.4562)
Ge (0.6559, 0.3441, 0.7500)
Os (0.2146, 0.7854, 0.0846)
Os (0.2146, 0.7854, 0.4154)
Os (0.7854, 0.2146, 0.5846)
Os (0.7854, 0.2146, 0.9154)

As for the space group: Cmcm (63). Its formation energy is -0.6257 eV/atom. The value obtained for the total magnetic moment is 0.000 μB/cell. The value obtained for the total energy is -120.6 eV per cell.



Entry 9:
Sc2GeOs: relaxed, PBE.

Cell: 3.1356 3.1356 28.7388 Å, 90.00 90.00 120.00°
Positions (direct):
Sc (0.0000, 0.0000, 0.0969)
Sc (0.0000, 0.0000, 0.9031)
Sc (0.3333, 0.6667, 0.5698)
Sc (0.3333, 0.6667, 0.7636)
Sc (0.6667, 0.3333, 0.2364)
Sc (0.6667, 0.3333, 0.4302)
Ge (0.0000, 0.0000, 0.0000)
Ge (0.3333, 0.6667, 0.6667)
Ge (0.6667, 0.3333, 0.3333)
Os (0.0000, 0.0000, 0.5000)
Os (0.3333, 0.6667, 0.1667)
Os (0.6667, 0.3333, 0.8333)

As for the space group: R-3m (166). Its formation energy is 0.0686 eV/atom. The value obtained for the total magnetic moment is 0.000 μB/cell. The value obtained for the total energy is -84.7 eV per cell.



Entry 10:
Sc2GeOs: relaxed, PBE.

Cell: 3.3302 3.3302 6.3609 Å, 90.00 90.00 90.00°
Positions (direct):
Sc (0.0000, 0.0000, 0.2391)
Sc (0.0000, 0.0000, 0.7609)
Ge (0.5000, 0.5000, 0.5000)
Os (0.5000, 0.5000, 0.0000)

As for the space group: P4/mmm (123). Its formation energy is -0.5948 eV/atom. The value obtained for the total magnetic moment is 0.000 μB/cell. The value obtained for the total energy is -30.9 eV per cell.



Entry 11:
ScGe3Os3: relaxed, PBE.

Cell: 6.7124 6.7124 6.7124 Å, 90.00 90.00 90.00°
Positions (direct):
Sc (0.0000, 0.0000, 0.0000)
Sc (0.5000, 0.5000, 0.5000)
Ge (0.0000, 0.2500, 0.5000)
Ge (0.0000, 0.7500, 0.5000)
Ge (0.2500, 0.5000, 0.0000)
Ge (0.5000, 0.0000, 0.2500)
Ge (0.5000, 0.0000, 0.7500)
Ge (0.7500, 0.5000, 0.0000)
Os (0.0000, 0.5000, 0.2500)
Os (0.0000, 0.5000, 0.7500)
Os (0.2500, 0.0000, 0.5000)
Os (0.5000, 0.2500, 0.0000)
Os (0.5000, 0.7500, 0.0000)
Os (0.7500, 0.0000, 0.5000)

As for the space group: Pm-3n (223). Its formation energy is 0.6890 eV/atom. The value obtained for the total magnetic moment is 0.000 μB/cell. The value obtained for the total energy is -98.1 eV per cell.



Entry 12:
ScGe3Os: relaxed, PBE.

Cell: 4.9338 4.9338 4.9338 Å, 90.00 90.00 90.00°
Positions (direct):
Sc (0.0000, 0.0000, 0.0000)
Ge (0.0000, 0.0000, 0.5000)
Ge (0.0000, 0.5000, 0.0000)
Ge (0.5000, 0.0000, 0.0000)
Os (0.5000, 0.5000, 0.5000)

As for the space group: Pm-3m (221). Its formation energy is 1.5421 eV/atom. The value obtained for the total magnetic moment is 2.200 μB/cell. The value obtained for the total energy is -23.7 eV per cell.



Repeat the sixth record exactly.
ScGe2Os: relaxed, PBE.

Cell: 6.9823 7.2419 5.5014 Å, 90.00 92.48 90.00°
Positions (direct):
Sc (0.1556, 0.0975, 0.2428)
Sc (0.1556, 0.4025, 0.7428)
Sc (0.8444, 0.5975, 0.2572)
Sc (0.8444, 0.9025, 0.7572)
Ge (0.1487, 0.7421, 0.0182)
Ge (0.1487, 0.7579, 0.5182)
Ge (0.4760, 0.2280, 0.5081)
Ge (0.4760, 0.2720, 0.0081)
Ge (0.5240, 0.7280, 0.9919)
Ge (0.5240, 0.7720, 0.4919)
Ge (0.8513, 0.2421, 0.4818)
Ge (0.8513, 0.2579, 0.9818)
Os (0.3381, 0.5094, 0.2886)
Os (0.3381, 0.9906, 0.7886)
Os (0.6619, 0.0094, 0.2114)
Os (0.6619, 0.4906, 0.7114)

As for the space group: P2_1/c (14). Its formation energy is -0.2949 eV/atom. The value obtained for the total magnetic moment is 0.000 μB/cell. The value obtained for the total energy is -111.9 eV per cell.